Density functional theory data (PBE-GGA) for a geometry-optimized LaSnSb2Te structure.

Properties
As for the raw total energy: -3.731 eV/atom. For the energy above the lowest structure with this stoichiometry, the calculation gives 312 meV/atom. Its crystal system is tetragonal. Its calculated density is 4.8 g/cm³. The energy relative to the elements, uncorrected is 333 meV/atom. The symmetry is P4/mmm, No. 123.

Structure (CIF):
```
data_LaSnSb2Te
_chemical_formula_sum 'La1 Sn1 Sb2 Te1'
_cell_length_a 6.027
_cell_length_b 6.034
_cell_length_c 6.027
_cell_angle_alpha 90.00
_cell_angle_beta 90.00
_cell_angle_gamma 90.00
_symmetry_space_group_name_H-M 'P 1'
_symmetry_Int_Tables_number 1
_symmetry_space_group_name_Hall 'P 1'
loop_
_atom_site_label
_atom_site_type_symbol
_atom_site_fract_x
_atom_site_fract_y
_atom_site_fract_z
Sb1 Sb 0.500 0.000 0.000
Te1 Te 0.000 0.500 0.000
La1 La 0.000 0.000 0.000
Sn1 Sn 0.500 0.500 0.500
Sb2 Sb 0.000 0.000 0.500
```

---

Density functional theory data (PBE-GGA) for a geometry-optimized LaSnSbTe2 structure.

Properties
As for the raw total energy: -4.022 eV/atom. For the energy above the lowest structure with this stoichiometry, the calculation gives 0 meV/atom. Its crystal system is tetragonal. Its calculated density is 5.9 g/cm³. The energy relative to the elements, uncorrected is -155 meV/atom. The symmetry is P4/mmm, No. 123.

Structure (CIF):
```
data_LaSnSbTe2
_chemical_formula_sum 'La1 Sn1 Sb1 Te2'
_cell_length_a 5.667
_cell_length_b 5.667
_cell_length_c 5.577
_cell_angle_alpha 90.00
_cell_angle_beta 90.00
_cell_angle_gamma 90.00
_symmetry_space_group_name_H-M 'P 1'
_symmetry_Int_Tables_number 1
_symmetry_space_group_name_Hall 'P 1'
loop_
_atom_site_label
_atom_site_type_symbol
_atom_site_fract_x
_atom_site_fract_y
_atom_site_fract_z
Sn1 Sn 0.000 0.000 0.000
Sb1 Sb 0.000 0.000 0.500
La1 La 0.500 0.500 0.500
Te1 Te 0.000 0.500 0.000
Te2 Te 0.500 0.000 0.000
```

---

Density functional theory data (PBE-GGA) for a geometry-optimized LaSnSb2Te structure.

Properties
As for the raw total energy: -4.042 eV/atom. For the energy above the lowest structure with this stoichiometry, the calculation gives 0 meV/atom. Its crystal system is tetragonal. Its calculated density is 5.9 g/cm³. The energy relative to the elements, uncorrected is 21 meV/atom. The symmetry is P4/mmm, No. 123.

Structure (CIF):
```
data_LaSnSb2Te
_chemical_formula_sum 'La1 Sn1 Sb2 Te1'
_cell_length_a 5.582
_cell_length_b 5.582
_cell_length_c 5.705
_cell_angle_alpha 90.00
_cell_angle_beta 90.00
_cell_angle_gamma 90.00
_symmetry_space_group_name_H-M 'P 1'
_symmetry_Int_Tables_number 1
_symmetry_space_group_name_Hall 'P 1'
loop_
_atom_site_label
_atom_site_type_symbol
_atom_site_fract_x
_atom_site_fract_y
_atom_site_fract_z
Te1 Te 0.000 0.000 0.500
Sb1 Sb 0.000 0.500 0.000
Sn1 Sn 0.000 0.000 0.000
Sb2 Sb 0.500 0.000 0.000
La1 La 0.500 0.500 0.500
```

---

Density functional theory data (PBE-GGA) for a geometry-optimized La8SnSb3Te4 structure.

Properties
As for the raw total energy: -5.689 eV/atom. Its crystal system is trigonal. Its calculated density is 6.3 g/cm³. The energy relative to the elements, uncorrected is -1416 meV/atom. The symmetry is R-3m, No. 166.

Structure (CIF):
```
data_La8SnSb3Te4
_chemical_formula_sum 'La8 Sn1 Sb3 Te4'
_cell_length_a 9.238
_cell_length_b 9.226
_cell_length_c 9.238
_cell_angle_alpha 120.04
_cell_angle_beta 120.00
_cell_angle_gamma 90.00
_symmetry_space_group_name_H-M 'P 1'
_symmetry_Int_Tables_number 1
_symmetry_space_group_name_Hall 'P 1'
loop_
_atom_site_label
_atom_site_type_symbol
_atom_site_fract_x
_atom_site_fract_y
_atom_site_fract_z
Te1 Te 0.000 0.000 0.000
La1 La 0.754 0.259 0.507
La2 La 0.251 0.259 0.005
La3 La 0.749 0.741 0.995
Te2 Te 0.000 0.000 0.500
La4 La 0.246 0.741 0.493
La5 La 0.747 0.742 0.494
La6 La 0.754 0.259 0.005
Te3 Te 0.500 0.000 0.000
La7 La 0.246 0.741 0.995
Sn1 Sn 0.000 0.500 0.000
Sb1 Sb 0.500 0.500 0.500
Sb2 Sb 0.000 0.500 0.500
La8 La 0.253 0.258 0.506
Sb3 Sb 0.500 0.500 0.000
Te4 Te 0.500 0.000 0.500
```

---

Number 1: size of the total moment 0.0 μB/cell. Number 2: size of the total moment 0.0 μB/cell. Number 3: size of the total moment 0.0 μB/cell. Number 4: size of the total moment 0.0 μB/cell.